The following is a PBE-GGA calculation of a geometry-optimized Dy3HoTh2P6 structure, from the Alexandria database.

Values from the calculation:
DFT formation energy (kcal/mol of atoms): -36.93

```
Dy3HoTh2P6
1.0
4.062 0.000 0.000
0.000 8.086 0.296
-2.031 -2.323 8.517
Dy Ho Th P
3 1 2 6
Cartesian
2.031 4.043 0.148
2.031 -0.210 5.738
0.000 5.973 3.075
2.031 0.000 0.000
2.031 3.862 5.910
0.000 1.901 2.903
0.000 5.907 5.962
2.031 3.977 2.991
2.031 -0.144 2.851
2.031 -0.308 8.560
0.000 6.071 0.253
0.000 1.785 5.823
```